Dy4AgRu2: relaxed, PBE.

Computed properties:
The energy above the lowest structure with this stoichiometry is 0.000 eV per atom. The mass density is 9.8 g/cm3. The value obtained for the total energy is -42.1 eV per cell.

abc: 4.8579 4.8579 6.9217
angles: 90.00 90.00 90.00
Atoms (fractional coordinates):
Dy: 0.5000 0.0000 0.2568
Dy: 0.0000 0.5000 0.7432
Dy: 0.5000 0.0000 0.7432
Dy: 0.0000 0.5000 0.2568
Ru: 0.5000 0.5000 0.5000
Ru: 0.0000 0.0000 0.0000
Ag: 0.5000 0.5000 0.0000